AgTe3: single point on PBEsol structure, meta-GGA SCAN.

Values from the calculation:
Volume = 27.11 A^3/atom
SG = Pmmn, No. 59
E_form (uncorrected) = 22 kJ/mol of formula units

a = 8.223 Å, b = 11.149 Å, c = 7.097 Å
α = 90.00°, β = 90.00°, γ = 90.00°
Fractional coordinates of all 24 atoms:
Ag (0.250, 0.065, 0.157)
Ag (0.250, 0.435, 0.157)
Ag (0.250, 0.750, 0.507)
Ag (0.750, 0.250, 0.493)
Ag (0.750, 0.565, 0.843)
Ag (0.750, 0.935, 0.843)
Te (0.014, 0.582, 0.340)
Te (0.014, 0.918, 0.340)
Te (0.023, 0.250, 0.027)
Te (0.250, 0.250, 0.430)
Te (0.250, 0.575, 0.826)
Te (0.250, 0.925, 0.826)
Te (0.477, 0.250, 0.027)
Te (0.486, 0.582, 0.340)
Te (0.486, 0.918, 0.340)
Te (0.514, 0.082, 0.660)
Te (0.514, 0.418, 0.660)
Te (0.523, 0.750, 0.973)
Te (0.750, 0.075, 0.174)
Te (0.750, 0.425, 0.174)
Te (0.750, 0.750, 0.570)
Te (0.977, 0.750, 0.973)
Te (0.986, 0.082, 0.660)
Te (0.986, 0.418, 0.660)

---

AgTe3: single point on PBEsol structure, meta-GGA SCAN.

Values from the calculation:
Volume = 27.25 A^3/atom
SG = Im-3m, No. 229
E_form (uncorrected) = -13 kJ/mol of formula units

a = 5.212 Å, b = 5.212 Å, c = 5.212 Å
α = 109.47°, β = 109.47°, γ = 109.47°
Fractional coordinates of all 4 atoms:
Ag (0.000, 0.000, 0.000)
Te (0.000, 0.500, 0.500)
Te (0.500, 0.000, 0.500)
Te (0.500, 0.500, 0.000)

---

AgTe: single point on PBEsol structure, meta-GGA SCAN.

Values from the calculation:
Volume = 24.40 A^3/atom
SG = Pbcm, No. 57
E_form (uncorrected) = 6 kJ/mol of formula units

a = 12.388 Å, b = 7.912 Å, c = 5.976 Å
α = 90.00°, β = 90.00°, γ = 90.00°
Fractional coordinates of all 24 atoms:
Ag (0.026, 0.030, 0.250)
Ag (0.026, 0.470, 0.750)
Ag (0.389, 0.545, 0.750)
Ag (0.389, 0.955, 0.250)
Ag (0.446, 0.250, 0.000)
Ag (0.446, 0.250, 0.500)
Ag (0.554, 0.750, 0.000)
Ag (0.554, 0.750, 0.500)
Ag (0.611, 0.045, 0.750)
Ag (0.611, 0.455, 0.250)
Ag (0.974, 0.530, 0.250)
Ag (0.974, 0.970, 0.750)
Te (0.109, 0.750, 0.000)
Te (0.109, 0.750, 0.500)
Te (0.228, 0.209, 0.250)
Te (0.228, 0.291, 0.750)
Te (0.376, 0.597, 0.250)
Te (0.376, 0.903, 0.750)
Te (0.624, 0.097, 0.250)
Te (0.624, 0.403, 0.750)
Te (0.772, 0.709, 0.250)
Te (0.772, 0.791, 0.750)
Te (0.891, 0.250, 0.000)
Te (0.891, 0.250, 0.500)

---

Please write out number 1 again, unchanged.
AgTe3: single point on PBEsol structure, meta-GGA SCAN.

Values from the calculation:
Volume = 27.11 A^3/atom
SG = Pmmn, No. 59
E_form (uncorrected) = 22 kJ/mol of formula units

a = 8.223 Å, b = 11.149 Å, c = 7.097 Å
α = 90.00°, β = 90.00°, γ = 90.00°
Fractional coordinates of all 24 atoms:
Ag (0.250, 0.065, 0.157)
Ag (0.250, 0.435, 0.157)
Ag (0.250, 0.750, 0.507)
Ag (0.750, 0.250, 0.493)
Ag (0.750, 0.565, 0.843)
Ag (0.750, 0.935, 0.843)
Te (0.014, 0.582, 0.340)
Te (0.014, 0.918, 0.340)
Te (0.023, 0.250, 0.027)
Te (0.250, 0.250, 0.430)
Te (0.250, 0.575, 0.826)
Te (0.250, 0.925, 0.826)
Te (0.477, 0.250, 0.027)
Te (0.486, 0.582, 0.340)
Te (0.486, 0.918, 0.340)
Te (0.514, 0.082, 0.660)
Te (0.514, 0.418, 0.660)
Te (0.523, 0.750, 0.973)
Te (0.750, 0.075, 0.174)
Te (0.750, 0.425, 0.174)
Te (0.750, 0.750, 0.570)
Te (0.977, 0.750, 0.973)
Te (0.986, 0.082, 0.660)
Te (0.986, 0.418, 0.660)

---

Question: Look up the E_form (uncorrected) of the third one.
Answer: 6 kJ/mol of formula units